PBE-GGA TbDyPb, relaxed; D(E_F) = 7.50 states/eV/cell; excess energy over the best structure of this formula in the dataset = 0.272 eV per atom; magnetization = 0.00 Bohr magnetons per cell; total energy = -13.40 eV/f.u.
1.0
4.351 0.000 -0.001
0.000 4.354 -0.001
0.003 -2.180 9.966
Tb Dy Pb
2 2 2
direct
0.847 0.785 0.992
0.347 0.205 0.832
0.347 0.399 0.219
0.847 0.591 0.604
0.347 0.048 0.519
0.847 0.942 0.305